(1)
Sr3TlAg after structural relaxation, computed with PBE.

Unit cell a=5.7428 b=22.2089 c=5.7392 alpha=90.00 beta=90.00 gamma=90.00
Closest atoms and distances in Å follow each position.
Space group Cmcm (No. 63)
Inequivalent atoms, fractional coordinates:
Sr  0.0000  0.0734  0.2500 [4 per cell]  2 Tl 3.41, 2 Ag 3.45
Sr  0.0000  0.2492  0.2500 [4 per cell]  4 Ag 3.50-3.52, 4 Tl 3.53-3.55, 2 Sr 3.89-3.90
Sr  0.0000  0.4246  0.2500 [4 per cell]  2 Tl 3.39, 2 Ag 3.42
Tl  0.0000  0.1567  0.7500 [4 per cell]  8 Sr 3.39-3.55
Ag  0.0000  0.3407  0.7500 [4 per cell]  8 Sr 3.42-3.52

Properties
energy of formation from the pure elements: -0.275 eV/atom

(2)
Sr6TlAg2 after structural relaxation, computed with PBE.

Unit cell a=10.6438 b=11.0408 c=11.8602 alpha=90.00 beta=90.00 gamma=90.00
Closest atoms and distances in Å follow each position.
Space group Immm (No. 71)
Inequivalent atoms, fractional coordinates:
Sr  0.0000  0.1906  0.2439 [8 per cell]  1 Ag 3.36, 2 Tl 3.58-3.69
Sr  0.1983  0.5000  0.1683 [8 per cell]  3 Ag 3.26-3.37
Sr  0.2203  0.3198  0.5000 [8 per cell]  3 Ag 3.40-3.49, 1 Tl 3.58
Tl  0.0000  0.0000  0.0000 [2 per cell]  8 Sr 3.58, 2 Ag 3.80
Tl  0.0000  0.0000  0.5000 [2 per cell]  8 Sr 3.69-3.78
Ag  0.0000  0.3445  0.0000 [4 per cell]  8 Sr 3.36-3.49, 1 Ag 3.43
Ag  0.0000  0.5000  0.3776 [4 per cell]  1 Ag 2.90

Properties
energy of formation from the pure elements: -0.246 eV/atom

(3)
SrTl2Ag after structural relaxation, computed with PBE.

Unit cell a=10.8184 b=4.6283 c=5.2756 alpha=90.00 beta=118.80 gamma=90.00
Closest atoms and distances in Å follow each position.
Space group Cm (No. 8)
Inequivalent atoms, fractional coordinates:
Sr  0.0000  0.0000  0.0000 [2 per cell]  4 Ag 3.35-3.52, 8 Tl 3.43-3.53
Tl  0.2327  0.0000  0.7318 [2 per cell]  4 Tl 3.40-3.47, 4 Sr 3.43-3.45, 4 Ag 3.50-3.53
Tl  0.4695  0.0000  0.4683 [2 per cell]  2 Ag 3.08, 2 Tl 3.40
Ag  0.2550  0.5000  0.2581 [2 per cell]  2 Tl 3.08, 2 Sr 3.35

Properties
energy of formation from the pure elements: -0.168 eV/atom

(4)
SrTl2Ag2 after structural relaxation, computed with PBE.

Unit cell a=4.6223 b=4.6223 c=13.0492 alpha=90.00 beta=90.00 gamma=90.00
Closest atoms and distances in Å follow each position.
Space group I4/mmm (No. 139)
Inequivalent atoms, fractional coordinates:
Sr  0.0000  0.0000  0.0000 [2 per cell]  8 Ag 3.54
Tl  0.0000  0.5000  0.2500 [4 per cell]  4 Ag 3.00, 4 Tl 3.27
Ag  0.0000  0.0000  0.3962 [4 per cell]  1 Ag 2.71, 4 Tl 3.00

Properties
energy of formation from the pure elements: -0.146 eV/atom

(5)
SrTl2Ag after structural relaxation, computed with PBE.

Unit cell a=4.5473 b=4.9228 c=5.1372 alpha=90.00 beta=90.00 gamma=90.00
Closest atoms and distances in Å follow each position.
Space group Pmmm (No. 47)
Inequivalent atoms, fractional coordinates:
Sr  0.0000  0.0000  0.0000 [1 per cell]  4 Ag 3.35, 8 Tl 3.43-3.56
Tl  0.0000  0.5000  0.5000 [1 per cell]  4 Tl 3.35, 4 Ag 3.43, 4 Sr 3.56
Tl  0.5000  0.0000  0.5000 [1 per cell]  4 Tl 3.35, 4 Sr 3.43, 4 Ag 3.56
Ag  0.5000  0.5000  0.0000 [1 per cell]  4 Sr 3.35, 8 Tl 3.43-3.56

Properties
energy of formation from the pure elements: -0.157 eV/atom

(6)
SrTl2Ag after structural relaxation, computed with PBE.

Unit cell a=4.1442 b=4.5790 c=6.7465 alpha=90.00 beta=107.77 gamma=90.00
Closest atoms and distances in Å follow each position.
Space group Pm (No. 6)
Inequivalent atoms, fractional coordinates:
Sr  0.0000  0.0000  0.0000 [1 per cell]  4 Ag 3.29-3.30, 3 Tl 3.45-3.63
Tl  0.2675  0.0000  0.5363 [1 per cell]  2 Ag 2.93
Tl  0.6614  0.5000  0.3253 [1 per cell]  1 Ag 3.24, 4 Tl 3.37-3.38
Ag  0.4118  0.5000  0.8211 [1 per cell]  3 Tl 2.93-3.24

Properties
energy of formation from the pure elements: -0.158 eV/atom

(7)
SrTl2Ag2 after structural relaxation, computed with PBE.

Unit cell a=8.2749 b=8.2749 c=3.9575 alpha=90.00 beta=90.00 gamma=90.00
Closest atoms and distances in Å follow each position.
Space group P4/mbm (No. 127)
Inequivalent atoms, fractional coordinates:
Sr  0.0000  0.0000  0.0000 [2 per cell]  4 Ag 3.29, 8 Tl 3.64
Tl  0.1732  0.3268  0.5000 [4 per cell]  6 Ag 3.11-3.17
Ag  0.1217  0.6217  0.0000 [4 per cell]  1 Ag 2.85, 6 Tl 3.11-3.17

Properties
energy of formation from the pure elements: -0.071 eV/atom

(8)
SrTl2Ag2 after structural relaxation, computed with PBE.

Unit cell a=11.6906 b=4.6651 c=5.5096 alpha=90.00 beta=110.65 gamma=90.00
Closest atoms and distances in Å follow each position.
Space group C2/m (No. 12)
Inequivalent atoms, fractional coordinates:
Sr  0.0000  0.0000  0.0000 [2 per cell]  6 Ag 3.45-3.46, 4 Tl 3.73
Tl  0.1396  0.5000  0.5531 [4 per cell]  4 Ag 2.89-2.99, 1 Tl 3.11
Ag  0.2311  0.5000  0.1287 [4 per cell]  2 Ag 2.84, 4 Tl 2.89-2.99

Properties
energy of formation from the pure elements: -0.164 eV/atom

(9)
Sr3Tl4Ag4 after structural relaxation, computed with PBE.

Unit cell a=4.1778 b=4.9287 c=15.7006 alpha=81.21 beta=82.43 gamma=89.99
Closest atoms and distances in Å follow each position.
Space group P-1 (No. 2)
Inequivalent atoms, fractional coordinates:
Sr  0.0000  0.0000  0.0000 [1 per cell]  8 Ag 3.52-3.53, 4 Tl 3.54-3.55
Sr  0.1427  0.6425  0.7129 [2 per cell]  6 Ag 3.47-3.66, 6 Tl 3.57-3.68
Tl  0.2580  0.2584  0.4834 [2 per cell]  4 Ag 3.00-3.06, 4 Tl 3.27
Tl  0.4095  0.9074  0.1864 [2 per cell]  3 Ag 2.85-2.86
Ag  0.3151  0.8139  0.3717 [2 per cell]  5 Tl 2.85-3.06
Ag  0.4544  0.4536  0.0917 [2 per cell]  1 Ag 2.82, 2 Tl 2.86

Properties
energy of formation from the pure elements: -0.231 eV/atom

(10)
Sr6TlAg3 after structural relaxation, computed with PBE.

Unit cell a=12.5162 b=4.4714 c=14.6658 alpha=90.00 beta=110.04 gamma=90.00
Closest atoms and distances in Å follow each position.
Space group P2_1/m (No. 11)
Inequivalent atoms, fractional coordinates:
Sr  0.0114  0.2500  0.3835 [2 per cell]  3 Ag 3.22-3.33
Sr  0.0672  0.2500  0.9045 [2 per cell]  3 Ag 3.32-3.39
Sr  0.2410  0.7500  0.3151 [2 per cell]  3 Ag 3.25-3.37, 2 Tl 3.39
Sr  0.3371  0.7500  0.7951 [2 per cell]  2 Ag 3.30, 1 Tl 3.51
Sr  0.3399  0.7500  0.0943 [2 per cell]  5 Ag 3.27-3.54, 2 Tl 3.52
Sr  0.3868  0.2500  0.5582 [2 per cell]  2 Ag 3.25, 2 Tl 3.39
Tl  0.4340  0.2500  0.2917 [2 per cell]  7 Sr 3.39-3.52, 1 Ag 3.48
Ag  0.1486  0.2500  0.1451 [2 per cell]  7 Sr 3.25-3.54, 1 Tl 3.48
Ag  0.1889  0.7500  0.5259 [2 per cell]  6 Sr 3.22-3.37
Ag  0.4233  0.2500  0.9707 [2 per cell]  2 Ag 2.88

Properties
energy of formation from the pure elements: -0.223 eV/atom

(11)
Sr11Tl9Ag4 after structural relaxation, computed with PBE.

Unit cell a=15.9526 b=23.8378 c=4.0976 alpha=90.00 beta=90.00 gamma=90.00
Closest atoms and distances in Å follow each position.
Space group Cmmm (No. 65)
Inequivalent atoms, fractional coordinates:
Sr  0.0000  0.0000  0.0000 [2 per cell]  8 Tl 3.53
Sr  0.0000  0.1666  0.0000 [4 per cell]  8 Tl 3.53-3.74, 2 Sr 3.83
Sr  0.0000  0.3636  0.0000 [4 per cell]  4 Ag 3.26, 4 Tl 3.57
Sr  0.2112  0.5000  0.0000 [4 per cell]  4 Ag 3.26, 4 Tl 3.60
Sr  0.2402  0.1722  0.0000 [8 per cell]  2 Ag 3.24, 4 Tl 3.48-3.53
Tl  0.0000  0.5000  0.5000 [2 per cell]  4 Ag 3.32
Tl  0.1064  0.2640  0.5000 [8 per cell]  1 Ag 3.36, 1 Tl 3.40, 8 Sr 3.53-3.68
Tl  0.1408  0.0751  0.5000 [8 per cell]  1 Ag 3.41, 8 Sr 3.48-3.74, 1 Tl 3.58
Ag  0.1483  0.4020  0.5000 [8 per cell]  6 Sr 3.24-3.26, 3 Tl 3.32-3.41

Properties
energy of formation from the pure elements: -0.357 eV/atom

(12)
Sr4Tl5Ag2 after structural relaxation, computed with PBE.

Unit cell a=8.3080 b=4.0005 c=10.5268 alpha=90.00 beta=94.70 gamma=90.00
Closest atoms and distances in Å follow each position.
Space group P2/m (No. 10)
Inequivalent atoms, fractional coordinates:
Sr  0.1771  0.0000  0.3719 [2 per cell]  2 Ag 3.31, 8 Tl 3.52-3.61
Sr  0.2558  0.0000  0.9357 [2 per cell]  4 Ag 3.36, 6 Tl 3.57-3.60
Tl  0.1780  0.5000  0.6565 [2 per cell]  1 Ag 3.14, 2 Tl 3.25-3.43
Tl  0.4400  0.5000  0.1923 [2 per cell]  1 Ag 3.14, 2 Tl 3.24-3.43
Tl  0.5000  0.5000  0.5000 [1 per cell]  4 Tl 3.24-3.25, 4 Sr 3.52
Ag  0.0644  0.5000  0.1303 [2 per cell]  1 Ag 2.86, 2 Tl 3.14

Properties
energy of formation from the pure elements: -0.294 eV/atom